VASP calculation (PBE-GGA) on a relaxed structure of Ca2LaHgRh.

```
data_Ca2LaHgRh
_cell_length_a 5.547
_cell_length_b 5.547
_cell_length_c 5.409
_cell_angle_alpha 90.00
_cell_angle_beta 90.00
_cell_angle_gamma 90.00
_space_group_name_H-M_alt 'P 4/m m m'
_space_group_IT_number 123
_space_group_name_Hall '-P 4 2'
loop_
_atom_site_label
_atom_site_type_symbol
_atom_site_fract_x
_atom_site_fract_y
_atom_site_fract_z
_atom_site_occupancy
Ca1 Ca 0.000 0.500 0.000 1
La1 La 0.000 0.000 0.500 1
Hg1 Hg 0.500 0.500 0.500 1
Rh1 Rh 0.000 0.000 0.000 1
```

Values from the calculation:
M_tot ... 0.00 μB per cell
DOS at the Fermi energy ... 4.1 states/eV/cell
Energy of formation ... -0.3684 eV per atom